The following is a DFT calculation (GGA-PBE) of a geometry-optimized Nb2Sn3Mo4N3 structure.

a b c (Å): 5.646 5.646 13.689
angles (deg): 102.05 102.05 59.63
Fractional positions:
Mo (0.181, 0.040, 0.079)
Mo (0.875, 0.692, 0.079)
Mo (0.308, 0.125, 0.421)
Mo (0.960, 0.819, 0.421)
Mo (0.040, 0.181, 0.579)
Mo (0.692, 0.875, 0.579)
Mo (0.125, 0.308, 0.921)
Mo (0.819, 0.960, 0.921)
N (0.500, 0.000, 0.000)
N (0.828, 0.337, 0.001)
N (0.663, 0.172, 0.499)
N (0.000, 0.500, 0.500)
N (0.337, 0.828, 0.501)
N (0.172, 0.663, 0.999)
Nb (0.528, 0.348, 0.081)
Nb (0.652, 0.472, 0.419)
Nb (0.348, 0.528, 0.581)
Nb (0.472, 0.652, 0.919)
Sn (0.585, 0.758, 0.249)
Sn (0.929, 0.071, 0.250)
Sn (0.242, 0.415, 0.251)
Sn (0.758, 0.585, 0.749)
Sn (0.071, 0.929, 0.750)
Sn (0.415, 0.242, 0.751)

Values from the calculation:
M_tot, μB/atom: 0.0004
Space group: C2/c
Final energy, eV per atom: -8.566